No. 1
Ac7TbHo2 PBE relaxed; SG = Cmmm (65); ΔH_f (0 K) = 0.632 eV/atom; DOS(E_F) = 1.3913 states/eV/atom; crystal system = orthorhombic; energy = -36.2 eV per cell
1.0
5.070 -8.201 0.000
5.070 8.201 0.000
0.000 0.000 6.095
Ac Tb Ho
7 1 2
Cartesian
0.000 0.000 0.000
3.193 2.026 0.000
5.070 3.949 3.048
3.193 -2.026 0.000
6.947 2.026 0.000
5.070 -3.949 3.048
6.947 -2.026 0.000
5.070 0.000 3.048
5.070 4.891 0.000
5.070 -4.891 0.000

***

No. 2
Ho5Pt2Rh2 PBE relaxed; SG = Cmce (64); ΔH_f (0 K) = -1.008 eV/atom; DOS(E_F) = 0.4828 states/eV/atom; crystal system = orthorhombic; energy = -117.5 eV per cell
1.0
7.341 -3.708 0.000
7.341 3.708 0.000
0.000 0.000 7.473
Ho Pt Rh
10 4 4
Cartesian
0.000 0.000 0.000
5.345 2.436 4.989
5.345 1.272 1.253
9.336 2.436 4.989
9.336 1.272 1.253
7.341 0.000 3.736
5.345 -1.272 6.220
5.345 -2.436 2.484
9.336 -1.272 6.220
9.336 -2.436 2.484
2.976 0.000 0.000
4.364 0.000 3.736
10.317 0.000 3.736
11.705 0.000 0.000
7.341 2.724 2.761
7.341 0.983 6.497
7.341 -0.983 0.976
7.341 -2.724 4.712

***

No. 3
CdTe3Pd PBE relaxed; SG = R-3 (148); DOS(E_F) = 0.2282 states/eV/atom; crystal system = trigonal; energy relative to the elements, uncorrected = -1.23 eV/f.u.; energy = -33.5 eV per cell
1.0
3.669 2.118 5.943
-3.669 2.118 5.943
0.000 -4.236 5.943
Cd Te Pd
2 6 2
Cartesian
0.000 0.000 1.632
0.000 0.000 16.196
-1.472 -1.790 7.461
-2.286 0.380 10.368
-0.814 2.170 7.461
0.814 -2.170 10.368
2.286 -0.380 7.461
1.472 1.790 10.368
0.000 0.000 6.018
0.000 0.000 11.810

***

No. 4
Zr2AlRh5 PBE relaxed; SG = Pbam (55); ΔH_f (0 K) = -0.893 eV/atom; DOS(E_F) = 0.6372 states/eV/atom; crystal system = orthorhombic; energy = -129.5 eV per cell
1.0
5.566 0.000 0.000
0.000 10.971 0.000
0.000 0.000 4.104
Zr Al Rh
4 2 10
Cartesian
1.003 1.533 0.000
1.779 7.018 0.000
3.786 3.952 0.000
4.562 9.438 0.000
0.000 5.485 2.052
2.783 0.000 2.052
0.000 0.000 2.052
0.389 8.176 2.052
1.038 4.309 0.000
1.745 9.794 0.000
2.394 2.691 2.052
2.783 5.485 2.052
3.172 8.280 2.052
3.821 1.177 0.000
4.528 6.662 0.000
5.177 2.794 2.052

***

No. 5
MnIn2P PBE relaxed; SG = I4/mmm (139); ΔH_f (0 K) = 0.361 eV/atom; DOS(E_F) = 0.5413 states/eV/atom; crystal system = tetragonal; energy = -18.6 eV per cell
1.0
-2.048 2.048 4.776
2.048 -2.048 4.776
2.048 2.048 -4.776
Mn In P
1 2 1
Cartesian
0.000 0.000 0.000
2.048 0.000 2.388
0.000 2.048 2.388
0.000 0.000 4.776

***

No. 6
RbTc2Pt PBE relaxed; SG = I-42d (122); ΔH_f (0 K) = 1.245 eV/atom; DOS(E_F) = 1.6377 states/eV/atom; crystal system = tetragonal; energy = -45.5 eV per cell
1.0
-2.345 2.345 9.397
2.345 -2.345 9.397
2.345 2.345 -9.397
Rb Tc Pt
2 4 2
Cartesian
0.000 0.000 0.000
0.000 2.345 4.698
1.172 -0.195 7.048
2.149 1.172 2.349
1.172 2.540 -2.349
0.195 1.172 11.746
2.345 0.000 4.698
0.000 0.000 9.397

***

No. 7
TlRe2Os PBE relaxed; SG = Fm-3m (225); ΔH_f (0 K) = 1.105 eV/atom; DOS(E_F) = 1.2447 states/eV/atom; crystal system = cubic; energy = -34.1 eV per cell
1.0
0.000 3.204 3.204
3.204 0.000 3.204
3.204 3.204 0.000
Tl Re Os
1 2 1
Cartesian
0.000 0.000 0.000
1.602 1.602 1.602
4.806 4.806 4.806
3.204 3.204 3.204

***

No. 8
Tb2Nd2Y4Ho PBE relaxed; SG = C2/m (12); ΔH_f (0 K) = -0.003 eV/atom; DOS(E_F) = 1.4061 states/eV/atom; crystal system = monoclinic; energy = -49.3 eV per cell
1.0
9.393 -1.810 0.000
9.393 1.810 0.000
-4.173 0.000 8.667
Tb Nd Y Ho
2 2 4 1
Cartesian
2.089 0.000 1.422
12.523 0.000 7.246
4.194 0.000 4.348
10.419 0.000 4.319
-0.001 0.000 7.237
8.341 0.000 1.433
6.272 0.000 7.234
14.614 0.000 1.431
-2.086 0.000 4.334

***

No. 9
PmNdPd6 PBE relaxed; SG = P4/mmm (123); ΔH_f (0 K) = -0.774 eV/atom; DOS(E_F) = 0.6883 states/eV/atom; crystal system = tetragonal; energy = -46.9 eV per cell
1.0
4.196 0.000 0.000
0.000 4.196 0.000
0.000 0.000 8.387
Pm Nd Pd
1 1 6
Cartesian
0.000 0.000 0.000
0.000 0.000 4.194
0.000 2.098 2.085
0.000 2.098 6.302
2.098 0.000 2.085
2.098 0.000 6.302
2.098 2.098 0.000
2.098 2.098 4.194

***

No. 10
AcLuBiPd PBE relaxed; SG = F-43m (216); ΔH_f (0 K) = -0.531 eV/atom; DOS(E_F) = 1.1956 states/eV/atom; crystal system = cubic; energy = -19.8 eV per cell
1.0
0.000 3.844 3.844
3.844 0.000 3.844
3.844 3.844 0.000
Ac Lu Bi Pd
1 1 1 1
Cartesian
0.000 0.000 0.000
3.844 3.844 3.844
5.767 5.767 5.767
1.922 1.922 1.922

***

No. 11
Cs12Na6Pb PBE relaxed; SG = R-3 (148); ΔH_f (0 K) = 0.027 eV/atom; DOS(E_F) = 1.0334 states/eV/atom; crystal system = trigonal; energy = -21.4 eV per cell
1.0
7.880 4.549 6.910
-7.880 4.549 6.910
0.000 -9.099 6.910
Cs Na Pb
12 6 1
Cartesian
-1.996 -6.701 8.874
-6.801 -1.621 11.856
-1.711 -2.083 6.765
-4.805 5.079 8.874
-0.949 2.523 6.765
2.659 -0.440 6.765
-2.659 0.440 13.965
0.949 -2.523 13.965
4.805 -5.079 11.856
1.711 2.083 13.965
6.801 1.621 8.874
1.996 6.701 11.856
-3.401 0.680 9.737
-2.289 -2.605 10.993
1.112 -3.285 9.737
-1.112 3.285 10.993
2.289 2.605 9.737
3.401 -0.680 10.993
0.000 0.000 10.365

***

No. 12
LaGd5 PBE relaxed; SG = Cmmm (65); ΔH_f (0 K) = 0.230 eV/atom; DOS(E_F) = 1.9057 states/eV/atom; crystal system = orthorhombic; energy = -74.0 eV per cell
1.0
2.957 -9.603 0.000
2.957 9.603 0.000
0.000 0.000 3.563
La Gd
1 5
Cartesian
0.000 0.000 0.000
2.957 6.222 0.000
2.957 3.356 1.781
2.957 0.000 1.781
2.957 -3.356 1.781
2.957 -6.222 0.000